i.
ZnBiI3: relaxed, PBE.

Properties
Symmetry   Pm-3m, No. 221

a b c (Å): 6.1657 6.1657 6.1657
angles (deg): 90.00 90.00 90.00
Closest atoms and distances in Å follow each position.
Fractional positions:
I 0.0000 0.0000 0.5000  2 Bi 3.08
I 0.0000 0.5000 0.0000  2 Bi 3.08
I 0.5000 0.0000 0.0000  2 Bi 3.08
Bi 0.0000 0.0000 0.0000  6 I 3.08
Zn 0.5000 0.5000 0.5000  12 I 4.36

=====

ii.
ZnBiI3: relaxed, PBE.

Properties
Symmetry   Pm-3m, No. 221

a b c (Å): 5.5396 5.5396 5.5396
angles (deg): 90.00 90.00 90.00
Closest atoms and distances in Å follow each position.
Fractional positions:
I 0.5000 0.0000 0.0000  2 Zn 2.77
I 0.0000 0.5000 0.0000  2 Zn 2.77
I 0.0000 0.0000 0.5000  2 Zn 2.77
Zn 0.0000 0.0000 0.0000  6 I 2.77
Bi 0.5000 0.5000 0.5000  12 I 3.92

=====

Of them, the most stable is i and the least stable is ii.

=====

i.
ZnBi2I: relaxed, PBE.

Properties
Symmetry   I-42d, No. 122

a b c (Å): 4.7061 4.7061 12.3759
angles (deg): 79.04 79.04 90.00
Closest atoms and distances in Å follow each position.
Fractional positions:
Zn 0.2500 0.7500 0.5000  4 I 3.33, 4 Bi 3.35
Zn 0.5000 0.5000 0.0000  4 I 3.33, 4 Bi 3.35
I 0.7500 0.2500 0.5000  4 Zn 3.33, 4 Bi 3.49
I 0.0000 0.0000 0.0000  4 Zn 3.33, 4 Bi 3.49
Bi 0.5795 0.1250 0.2500  2 Bi 3.04, 2 Zn 3.35
Bi 0.1705 0.6250 0.2500  2 Bi 3.04, 2 Zn 3.35
Bi 0.3750 0.4205 0.7500  2 Bi 3.04, 2 Zn 3.35
Bi 0.8750 0.8295 0.7500  2 Bi 3.04, 2 Zn 3.35

=====

ii.
ZnBi2I: relaxed, PBE.

Properties
Symmetry   Fm-3m, No. 225

a b c (Å): 5.4948 5.4948 5.4948
angles (deg): 60.00 60.00 60.00
Closest atoms and distances in Å follow each position.
Fractional positions:
Bi 0.7500 0.7500 0.7500  4 Zn 3.36, 4 I 3.36
Bi 0.2500 0.2500 0.2500  4 I 3.36, 4 Zn 3.36
Zn 0.0000 0.0000 0.0000  8 Bi 3.36
I 0.5000 0.5000 0.5000  8 Bi 3.36

=====

Of them, the most stable is i and the least stable is ii.

=====

i.
Zr3BiI: relaxed, PBE.

Properties
Symmetry   Pm-3m, No. 221

a b c (Å): 5.5258 5.5258 5.5258
angles (deg): 90.00 90.00 90.00
Closest atoms and distances in Å follow each position.
Fractional positions:
Zr 0.5000 0.0000 0.0000  2 Bi 2.76
Zr 0.0000 0.0000 0.5000  2 Bi 2.76
Zr 0.0000 0.5000 0.0000  2 Bi 2.76
I 0.5000 0.5000 0.5000  12 Zr 3.91
Bi 0.0000 0.0000 0.0000  6 Zr 2.76

=====

ii.
Zr3BiI: relaxed, PBE.

Properties
Symmetry   Pm-3m, No. 221

a b c (Å): 5.2795 5.2795 5.2795
angles (deg): 90.00 90.00 90.00
Closest atoms and distances in Å follow each position.
Fractional positions:
I 0.0000 0.0000 0.0000  6 Zr 2.64
Zr 0.5000 0.0000 0.0000  2 I 2.64
Zr 0.0000 0.5000 0.0000  2 I 2.64
Zr 0.0000 0.0000 0.5000  2 I 2.64
Bi 0.5000 0.5000 0.5000  12 Zr 3.73

=====

Of them, the most stable is ii and the least stable is i.

=====

i.
InBiIr: relaxed, PBE.

Properties
Symmetry   C2/c, No. 15

a b c (Å): 5.8667 5.7311 5.7310
angles (deg): 69.55 59.32 59.32
Closest atoms and distances in Å follow each position.
Fractional positions:
In 0.7106 0.6176 0.6053  2 Ir 2.72
In 0.2106 0.9184 0.3045  2 Ir 2.72
Ir 0.9609 0.2677 0.9546  2 In 2.72, 4 Bi 2.87, 2 Ir 2.93
Ir 0.4609 0.2676 0.9546  2 In 2.72, 4 Bi 2.87, 2 Ir 2.93
Bi 0.9608 0.7676 0.9550  4 Ir 2.87, 2 In 3.20
Bi 0.4607 0.2680 0.4546  4 Ir 2.87, 2 In 3.20

=====

ii.
InBiIr: relaxed, PBE.

Properties
Symmetry   Pnma, No. 62

a b c (Å): 3.6645 7.0979 12.0755
angles (deg): 90.00 90.00 90.00
Closest atoms and distances in Å follow each position.
Fractional positions:
Bi 0.2500 0.2323 0.7139  3 Ir 2.70-2.71
Bi 0.7500 0.2677 0.2861  3 Ir 2.70-2.71
Bi 0.2500 0.7677 0.2139  3 Ir 2.70-2.71
Bi 0.7500 0.7323 0.7861  3 Ir 2.70-2.71
Ir 0.7500 0.0938 0.8571  3 Bi 2.70-2.71, 3 In 2.73-2.82
Ir 0.2500 0.5938 0.6429  3 Bi 2.70-2.71, 3 In 2.73-2.82
Ir 0.2500 0.4062 0.1429  3 Bi 2.70-2.71, 3 In 2.73-2.82
Ir 0.7500 0.9062 0.3571  3 Bi 2.70-2.71, 3 In 2.73-2.82
In 0.7500 0.4349 0.9764  3 Ir 2.73-2.82
In 0.2500 0.0651 0.0236  3 Ir 2.73-2.82
In 0.2500 0.9349 0.5236  3 Ir 2.73-2.82
In 0.7500 0.5651 0.4764  3 Ir 2.73-2.82

=====

Of them, the most stable is ii and the least stable is i.

=====

i.
InBiIr2: relaxed, PBE.

Properties
Symmetry   I-42d, No. 122

a b c (Å): 6.1034 6.1034 7.4042
angles (deg): 65.66 65.66 90.00
Closest atoms and distances in Å follow each position.
Fractional positions:
Ir 0.8750 0.8748 0.7500  2 In 2.63, 2 Bi 2.63
Ir 0.3750 0.3752 0.7500  2 In 2.63, 2 Bi 2.63
Ir 0.6248 0.1250 0.2500  2 In 2.63, 2 Bi 2.63
Ir 0.1252 0.6250 0.2500  2 In 2.63, 2 Bi 2.63
In 0.5000 0.5000 0.0000  4 Ir 2.63
In 0.2500 0.7500 0.5000  4 Ir 2.63
Bi 0.7500 0.2500 0.5000  4 Ir 2.63
Bi 0.0000 0.0000 0.0000  4 Ir 2.63

=====

ii.
InBiIr2: relaxed, PBE.

Properties
Symmetry   Fm-3m, No. 225

a b c (Å): 4.7524 4.7524 4.7524
angles (deg): 60.00 60.00 60.00
Closest atoms and distances in Å follow each position.
Fractional positions:
Ir 0.7500 0.7500 0.7500  4 In 2.91, 4 Bi 2.91
Ir 0.2500 0.2500 0.2500  4 Bi 2.91, 4 In 2.91
In 0.0000 0.0000 0.0000  8 Ir 2.91
Bi 0.5000 0.5000 0.5000  8 Ir 2.91

=====

Of them, the most stable is ii and the least stable is i.

=====

i.
InBi2Ir2: relaxed, PBE.

Properties
Symmetry   I4/mmm, No. 139

a b c (Å): 4.8478 4.8478 6.3303
angles (deg): 67.49 67.49 90.00
Closest atoms and distances in Å follow each position.
Fractional positions:
Bi 0.2500 0.7500 0.5000  4 Ir 2.81
Bi 0.7500 0.2500 0.5000  4 Ir 2.81
Ir 0.6171 0.6171 0.7658  1 Ir 2.49
Ir 0.3829 0.3829 0.2342  1 Ir 2.49
In 0.0000 0.0000 0.0000  8 Bi 3.60, 8 Ir 3.65

=====

ii.
InBi2Ir2: relaxed, PBE.

Properties
Symmetry   P4/mbm, No. 127

a b c (Å): 7.2487 7.2487 4.2084
angles (deg): 90.00 90.00 90.00
Closest atoms and distances in Å follow each position.
Fractional positions:
In 0.5000 0.5000 0.0000  4 Ir 2.81
In 0.0000 0.0000 0.0000  4 Ir 2.81
Ir 0.8629 0.6371 0.0000  1 Ir 2.81, 2 In 2.81, 6 Bi 2.94-3.03
Ir 0.3629 0.8629 0.0000  1 Ir 2.81, 2 In 2.81, 6 Bi 2.94-3.03
Ir 0.1371 0.3629 0.0000  1 Ir 2.81, 2 In 2.81, 6 Bi 2.94-3.03
Ir 0.6371 0.1371 0.0000  1 Ir 2.81, 2 In 2.81, 6 Bi 2.94-3.03
Bi 0.1622 0.6622 0.5000  6 Ir 2.94-3.03
Bi 0.3378 0.1622 0.5000  6 Ir 2.94-3.03
Bi 0.8378 0.3378 0.5000  6 Ir 2.94-3.03
Bi 0.6622 0.8378 0.5000  6 Ir 2.94-3.03

=====

Of them, the most stable is ii and the least stable is i.